## LiLaSe2O6 (GGA-PBE)

Data for an optimized crystal structure of LiLaSe2O6.

- formation energy without anion corrections (eV per atom) = -1.7220
- symmetry = R-3, No. 148
- total energy (eV per cell) = -60.78
- M_tot (Bohr magnetons per cell) = 0.00
- theoretical density (g/cm3) = 4.5
- DOS(E_F) (states/eV per atom) = 0.000

extended XYZ file:
```
10
Lattice="-3.287 4.222 -0.405 -3.085 0.590 -4.351 -6.424 -1.492 1.044" Properties=species:S:1:pos:R:3 pbc="T T T"
Li -6.398 1.660 -1.856
La 0.000 0.000 0.000
Se -9.076 2.865 -3.102
Se -3.720 0.455 -0.609
O -6.453 -0.613 -1.272
O -7.384 1.974 0.251
O -4.192 2.039 -1.151
O -6.343 3.933 -2.440
O -5.412 1.346 -3.963
O -8.605 1.281 -2.561
```

## Pm4Dy6Ho (GGA-PBE)

Data for an optimized crystal structure of Pm4Dy6Ho.

- symmetry = I-42m, No. 121
- total energy (eV per cell) = -46.36
- M_tot (Bohr magnetons per cell) = 0.00
- theoretical density (g/cm3) = 7.4
- ΔH_f (0 K) (meV per atom) = 439.5
- DOS(E_F) (states/eV per atom) = 1.204

extended XYZ file:
```
11
Lattice="-3.068 6.987 0.408 -2.334 -1.441 7.133 8.388 -0.412 -1.432" Properties=species:S:1:pos:R:3 pbc="T T T"
Pm 5.054 -0.747 4.171
Pm -3.590 4.942 6.586
Pm 4.576 4.746 -0.212
Pm -0.069 1.328 1.671
Dy -0.777 5.655 3.029
Dy -0.427 1.634 6.237
Dy 2.299 2.812 3.274
Dy -1.167 -0.721 3.566
Dy 4.876 0.167 -0.323
Dy -1.534 3.494 0.204
Ho -2.701 2.773 3.770
```

## Cd3FeOs (GGA-PBE)

Data for an optimized crystal structure of Cd3FeOs.

- symmetry = Pm-3m, No. 221
- total energy (eV per cell) = -15.58
- M_tot (Bohr magnetons per cell) = 4.50
- theoretical density (g/cm3) = 7.0
- ΔH_f (0 K) (meV per atom) = 1370.7
- DOS(E_F) (states/eV per atom) = 1.861

extended XYZ file:
```
5
Lattice="-1.437 -4.860 -0.980 2.379 0.219 -4.575 4.349 -1.725 2.179" Properties=species:S:1:pos:R:3 pbc="T T T"
Os 0.000 0.000 0.000
Fe 2.646 -3.183 -1.688
Cd 1.190 0.110 -2.288
Cd 2.175 -0.863 1.089
Cd -0.718 -2.430 -0.490
```